Record 1
DFT (PBE) results for an optimized crystal structure of Sb3PtN.

Cell and atoms, written as POSCAR:
```
Sb3PtN
1.0
4.648 0.000 0.000
0.000 4.648 0.000
0.000 0.000 4.648
Sb Pt N
3 1 1
Direct
0.000 0.500 0.000
0.000 0.000 0.500
0.500 0.000 0.000
0.500 0.500 0.500
0.000 0.000 0.000
```

Results
crystal system	cubic
energy relative to the lowest polymorph listed for this composition	0.00	eV per formula unit
raw formation energy	0.531	eV per atom
calculated volume	20.1	Å³ per atom
symmetry	Pm-3m

=====

Record 2
DFT (PBE) results for an optimized crystal structure of SbPt2N.

Cell and atoms, written as POSCAR:
```
SbPt2N
1.0
-2.869 3.709 1.503
-1.183 -2.553 4.041
2.707 3.046 5.716
Pt Sb N
4 2 2
Direct
0.875 0.750 0.750
0.500 0.125 0.250
0.250 0.625 0.250
0.375 0.500 0.750
0.750 0.250 0.500
0.000 0.000 0.000
0.250 0.750 0.500
0.500 0.500 0.000
```

Results
crystal system	tetragonal
energy relative to the lowest polymorph listed for this composition	0.00	eV per formula unit
raw formation energy	0.226	eV per atom
calculated volume	18.5	Å³ per atom
symmetry	I-42d

=====

Record 3
DFT (PBE) results for an optimized crystal structure of SbPt3N.

Cell and atoms, written as POSCAR:
```
SbPt3N
1.0
5.000 0.000 0.000
0.000 5.000 0.000
0.000 0.000 5.000
Sb Pt N
1 3 1
Direct
0.000 0.000 0.000
0.000 0.000 0.500
0.000 0.500 0.000
0.500 0.000 0.000
0.500 0.500 0.500
```

Results
crystal system	cubic
energy relative to the lowest polymorph listed for this composition	7.15	eV per formula unit
raw formation energy	1.916	eV per atom
calculated volume	25.0	Å³ per atom
symmetry	Pm-3m

=====

Record 4
DFT (PBE) results for an optimized crystal structure of SbPt2N.

Cell and atoms, written as POSCAR:
```
SbPt2N
1.0
-3.166 -2.283 2.075
-3.570 -1.353 -2.227
-0.562 -4.296 -0.876
Pt N Sb
2 1 1
Direct
0.250 0.250 0.250
0.750 0.750 0.750
0.000 0.000 0.000
0.500 0.500 0.500
```

Results
crystal system	cubic
energy relative to the lowest polymorph listed for this composition	2.47	eV per formula unit
raw formation energy	0.843	eV per atom
calculated volume	15.3	Å³ per atom
symmetry	Fm-3m

=====

Record 5
DFT (PBE) results for an optimized crystal structure of SbPtN2.

Cell and atoms, written as POSCAR:
```
SbPtN2
1.0
1.829 0.000 6.303
-0.914 1.584 6.303
-0.914 -1.584 6.303
N Pt Sb
2 1 1
Direct
0.108 0.108 0.108
0.892 0.892 0.892
0.000 0.000 0.000
0.500 0.500 0.500
```

Results
crystal system	trigonal
raw formation energy	0.516	eV per atom
calculated volume	13.7	Å³ per atom
symmetry	R-3m

=====

Record 6
DFT (PBE) results for an optimized crystal structure of SbPtN2.

Cell and atoms, written as POSCAR:
```
SbPtN2
1.0
-3.400 4.880 2.835
-1.140 4.103 5.028
-0.393 6.062 2.552
Pt Sb N
1 1 2
Direct
0.500 0.500 0.500
0.000 0.000 0.000
0.883 0.883 0.883
0.117 0.117 0.117
```

Results
crystal system	trigonal
raw formation energy	0.693	eV per atom
calculated volume	14.4	Å³ per atom
symmetry	R-3m

=====

Record 7
DFT (PBE) results for an optimized crystal structure of SbPt3N.

Cell and atoms, written as POSCAR:
```
SbPt3N
1.0
4.312 0.000 0.000
0.000 4.312 0.000
0.000 0.000 4.312
N Pt Sb
1 3 1
Direct
0.000 0.000 0.000
0.000 0.000 0.500
0.000 0.500 0.000
0.500 0.000 0.000
0.500 0.500 0.500
```

Results
crystal system	cubic
energy relative to the lowest polymorph listed for this composition	0.00	eV per formula unit
raw formation energy	0.486	eV per atom
calculated volume	16.0	Å³ per atom
symmetry	Pm-3m

=====

Record 8
DFT (PBE) results for an optimized crystal structure of SbPtN2.

Cell and atoms, written as POSCAR:
```
SbPtN2
1.0
-2.519 -4.247 -0.853
1.248 0.234 -4.848
3.447 -4.614 -1.926
Sb N Pt
2 4 2
Direct
0.500 0.500 0.000
0.250 0.750 0.500
0.875 0.880 0.750
0.375 0.370 0.750
0.120 0.625 0.250
0.630 0.125 0.250
0.750 0.250 0.500
0.000 0.000 0.000
```

Results
crystal system	tetragonal
raw formation energy	0.947	eV per atom
calculated volume	15.5	Å³ per atom
symmetry	I-42d

=====

Record 9
DFT (PBE) results for an optimized crystal structure of Sb3PtN.

Cell and atoms, written as POSCAR:
```
Sb3PtN
1.0
-4.504 -0.791 -2.508
-1.187 -3.826 3.339
-2.346 3.455 3.124
Pt Sb N
1 3 1
Direct
0.000 0.000 0.000
0.500 0.000 0.000
0.000 0.000 0.500
0.000 0.500 0.000
0.500 0.500 0.500
```

Results
crystal system	cubic
energy relative to the lowest polymorph listed for this composition	4.88	eV per formula unit
raw formation energy	1.508	eV per atom
calculated volume	28.4	Å³ per atom
symmetry	Pm-3m

=====

Record 10
DFT (PBE) results for an optimized crystal structure of ScSbPtN2.

Cell and atoms, written as POSCAR:
```
ScSbPtN2
1.0
4.029 0.000 0.000
0.000 5.510 0.000
0.000 0.000 4.029
N Pt Sb Sc
2 1 1 1
Direct
0.500 0.000 0.000
0.000 0.000 0.500
0.000 0.500 0.000
0.500 0.500 0.500
0.000 0.000 0.000
```

Results
crystal system	tetragonal
raw formation energy	0.682	eV per atom
calculated volume	17.9	Å³ per atom
symmetry	P4/mmm

=====

Record 11
DFT (PBE) results for an optimized crystal structure of SbPtSeN2.

Cell and atoms, written as POSCAR:
```
SbPtSeN2
1.0
-1.775 2.610 2.453
2.277 -1.291 3.022
3.713 3.679 -1.227
Se Pt N Sb
1 1 2 1
Direct
0.000 0.000 0.500
0.000 0.000 0.000
0.000 0.500 0.000
0.500 0.000 0.000
0.500 0.500 0.500
```

Results
crystal system	tetragonal
energy relative to the lowest polymorph listed for this composition	0.00	eV per formula unit
raw formation energy	1.203	eV per atom
calculated volume	17.2	Å³ per atom
symmetry	P4/mmm

=====

Record 12
DFT (PBE) results for an optimized crystal structure of SbPtSeN2.

Cell and atoms, written as POSCAR:
```
SbPtSeN2
1.0
3.932 0.000 0.000
0.000 3.932 0.000
0.000 0.000 5.854
N Se Sb Pt
2 1 1 1
Direct
0.000 0.500 0.000
0.500 0.000 0.000
0.000 0.000 0.500
0.000 0.000 0.000
0.500 0.500 0.500
```

Results
crystal system	tetragonal
energy relative to the lowest polymorph listed for this composition	1.35	eV per formula unit
raw formation energy	1.473	eV per atom
calculated volume	18.1	Å³ per atom
symmetry	P4/mmm

=====

Record 13
DFT (PBE) results for an optimized crystal structure of Sc2PtN.

Cell and atoms, written as POSCAR:
```
Sc2PtN
1.0
1.806 0.000 7.581
-0.903 1.564 7.581
-0.903 -1.564 7.581
Sc N Pt
2 1 1
Direct
0.887 0.887 0.887
0.113 0.113 0.113
0.500 0.500 0.500
0.000 0.000 0.000
```

Results
crystal system	trigonal
raw formation energy	-0.991	eV per atom
calculated volume	16.1	Å³ per atom
symmetry	R-3m

=====

Record 14
DFT (PBE) results for an optimized crystal structure of Sc2PtN2.

Cell and atoms, written as POSCAR:
```
Sc2PtN2
1.0
4.351 0.000 0.000
0.000 4.351 0.000
2.175 2.175 4.299
Sc N Pt
2 2 1
Direct
0.750 0.250 0.500
0.250 0.750 0.500
0.241 0.241 0.518
0.759 0.759 0.482
0.000 0.000 0.000
```

Results
crystal system	tetragonal
energy relative to the lowest polymorph listed for this composition	0.00	eV per formula unit
raw formation energy	-1.145	eV per atom
calculated volume	16.3	Å³ per atom
symmetry	I4/mmm

=====

Record 15
DFT (PBE) results for an optimized crystal structure of ScPtN2.

Cell and atoms, written as POSCAR:
```
ScPtN2
1.0
-1.589 0.746 4.228
-4.289 -0.460 -1.531
-2.737 -5.029 2.337
Sc N Pt
2 4 2
Direct
0.500 0.500 0.000
0.250 0.750 0.500
0.375 0.363 0.750
0.875 0.887 0.750
0.113 0.625 0.250
0.637 0.125 0.250
0.000 0.000 0.000
0.750 0.250 0.500
```

Results
crystal system	tetragonal
energy relative to the lowest polymorph listed for this composition	0.00	eV per formula unit
raw formation energy	-0.226	eV per atom
calculated volume	13.8	Å³ per atom
symmetry	I-42d

=====

Record 16
DFT (PBE) results for an optimized crystal structure of ScPt3N.

Cell and atoms, written as POSCAR:
```
ScPt3N
1.0
4.248 0.000 0.000
0.000 4.248 0.000
0.000 0.000 4.248
Pt Sc N
3 1 1
Direct
0.000 0.500 0.000
0.000 0.000 0.500
0.500 0.000 0.000
0.500 0.500 0.500
0.000 0.000 0.000
```

Results
crystal system	cubic
energy relative to the lowest polymorph listed for this composition	0.00	eV per formula unit
raw formation energy	-0.097	eV per atom
calculated volume	15.3	Å³ per atom
symmetry	Pm-3m

=====

Record 17
DFT (PBE) results for an optimized crystal structure of ScPtN.

Cell and atoms, written as POSCAR:
```
ScPtN
1.0
4.102 0.000 0.000
0.000 4.430 0.000
0.000 0.000 4.520
Sc Pt N
2 2 2
Direct
0.500 0.000 0.799
0.500 0.500 0.299
0.000 0.500 0.755
0.000 0.000 0.255
0.500 0.000 0.328
0.500 0.500 0.828
```

Results
crystal system	orthorhombic
raw formation energy	-1.030	eV per atom
calculated volume	13.7	Å³ per atom
symmetry	Amm2

=====

Record 18
DFT (PBE) results for an optimized crystal structure of ScPtN2.

Cell and atoms, written as POSCAR:
```
ScPtN2
1.0
1.959 -1.934 -2.845
2.248 -3.127 0.918
-1.139 -3.638 -1.066
N Pt Sc
2 1 1
Direct
0.750 0.750 0.750
0.250 0.250 0.250
0.500 0.500 0.500
0.000 0.000 0.000
```

Results
crystal system	cubic
energy relative to the lowest polymorph listed for this composition	1.92	eV per formula unit
raw formation energy	0.253	eV per atom
calculated volume	11.0	Å³ per atom
symmetry	Fm-3m

=====

Record 19
DFT (PBE) results for an optimized crystal structure of ScPt3N.

Cell and atoms, written as POSCAR:
```
ScPt3N
1.0
4.882 0.000 0.000
0.000 4.882 0.000
0.000 0.000 4.882
Sc Pt N
1 3 1
Direct
0.000 0.000 0.000
0.000 0.500 0.000
0.000 0.000 0.500
0.500 0.000 0.000
0.500 0.500 0.500
```

Results
crystal system	cubic
energy relative to the lowest polymorph listed for this composition	9.51	eV per formula unit
raw formation energy	1.805	eV per atom
calculated volume	23.3	Å³ per atom
symmetry	Pm-3m

=====

Record 20
DFT (PBE) results for an optimized crystal structure of ScPtN2.

Cell and atoms, written as POSCAR:
```
ScPtN2
1.0
1.889 0.000 6.001
-0.945 1.636 6.001
-0.945 -1.636 6.001
N Sc Pt
2 1 1
Direct
0.105 0.105 0.105
0.895 0.895 0.895
0.500 0.500 0.500
0.000 0.000 0.000
```

Results
crystal system	trigonal
energy relative to the lowest polymorph listed for this composition	0.01	eV per formula unit
raw formation energy	-0.224	eV per atom
calculated volume	13.9	Å³ per atom
symmetry	R-3m

=====

Record 21
DFT (PBE) results for an optimized crystal structure of Sc2PtN2.

Cell and atoms, written as POSCAR:
```
Sc2PtN2
1.0
6.366 0.000 0.000
0.000 6.366 0.000
0.000 0.000 3.070
Sc Pt N
4 2 4
Direct
0.335 0.165 0.500
0.835 0.335 0.500
0.165 0.665 0.500
0.665 0.835 0.500
0.000 0.000 0.000
0.500 0.500 0.000
0.335 0.835 0.000
0.165 0.335 0.000
0.835 0.665 0.000
0.665 0.165 0.000
```

Results
crystal system	tetragonal
energy relative to the lowest polymorph listed for this composition	1.23	eV per formula unit
raw formation energy	-0.898	eV per atom
calculated volume	12.4	Å³ per atom
symmetry	P4/mbm

=====

Record 22
DFT (PBE) results for an optimized crystal structure of ScPtN.

Cell and atoms, written as POSCAR:
```
ScPtN
1.0
4.066 0.000 -0.006
0.000 3.691 0.000
-0.093 0.000 6.410
N Pt Sc
2 2 2
Direct
0.078 0.000 0.966
0.078 0.500 0.466
0.572 0.000 0.935
0.572 0.500 0.435
0.042 0.000 0.291
0.042 0.500 0.791
```

Results
crystal system	monoclinic
raw formation energy	-0.899	eV per atom
calculated volume	16.0	Å³ per atom
symmetry	Cm

=====

Record 23
DFT (PBE) results for an optimized crystal structure of ScPt2N.

Cell and atoms, written as POSCAR:
```
ScPt2N
1.0
-0.567 4.153 -2.787
-4.999 -0.548 0.201
-2.942 5.014 3.526
Pt Sc N
4 2 2
Direct
0.875 0.756 0.750
0.506 0.125 0.250
0.375 0.494 0.750
0.244 0.625 0.250
0.750 0.250 0.500
0.000 0.000 0.000
0.250 0.750 0.500
0.500 0.500 0.000
```

Results
crystal system	tetragonal
raw formation energy	-0.159	eV per atom
calculated volume	18.3	Å³ per atom
symmetry	I-42d

=====

Record 24
DFT (PBE) results for an optimized crystal structure of ScPtN.

Cell and atoms, written as POSCAR:
```
ScPtN
1.0
-1.810 -2.012 1.323
4.110 -2.225 2.237
-0.518 3.157 4.092
Sc N Pt
2 2 2
Direct
0.500 0.171 0.098
0.500 0.829 0.598
0.000 0.020 0.844
0.000 0.980 0.344
0.000 0.645 0.089
0.000 0.355 0.589
```

Results
crystal system	orthorhombic
raw formation energy	-0.901	eV per atom
calculated volume	13.5	Å³ per atom
symmetry	Pmc2_1

=====

Record 25
DFT (PBE) results for an optimized crystal structure of Sc2PtN.

Cell and atoms, written as POSCAR:
```
Sc2PtN
1.0
6.137 0.000 0.000
0.000 6.137 0.000
3.068 3.068 3.734
Pt Sc N
2 4 2
Direct
0.000 0.000 0.000
0.750 0.250 0.500
0.546 0.125 0.250
0.875 0.796 0.750
0.375 0.454 0.750
0.204 0.625 0.250
0.250 0.750 0.500
0.500 0.500 0.000
```

Results
crystal system	tetragonal
raw formation energy	-1.171	eV per atom
calculated volume	17.6	Å³ per atom
symmetry	I-42d

=====

Record 26
DFT (PBE) results for an optimized crystal structure of Sc2PtN.

Cell and atoms, written as POSCAR:
```
Sc2PtN
1.0
2.344 0.000 6.680
-1.172 2.030 6.680
-1.172 -2.030 6.680
Pt Sc N
1 2 1
Direct
0.500 0.500 0.500
0.093 0.093 0.093
0.907 0.907 0.907
0.000 0.000 0.000
```

Results
crystal system	trigonal
raw formation energy	-0.521	eV per atom
calculated volume	23.8	Å³ per atom
symmetry	R-3m

=====

Record 27
DFT (PBE) results for an optimized crystal structure of Sc4Pt2N.

Cell and atoms, written as POSCAR:
```
Sc4Pt2N
1.0
4.297 0.000 0.000
0.000 4.297 0.000
2.148 2.148 6.885
Sc Pt N
4 2 1
Direct
0.500 0.000 0.000
0.829 0.829 0.343
0.171 0.171 0.657
0.000 0.500 0.000
0.637 0.637 0.727
0.363 0.363 0.273
0.000 0.000 0.000
```

Results
crystal system	tetragonal
raw formation energy	-1.183	eV per atom
calculated volume	18.2	Å³ per atom
symmetry	I4/mmm

=====

Record 28
DFT (PBE) results for an optimized crystal structure of ScPtSeN2.

Cell and atoms, written as POSCAR:
```
ScPtSeN2
1.0
-2.033 -3.394 -0.855
1.459 0.077 -3.775
4.339 -3.006 1.615
Sc N Pt Se
1 2 1 1
Direct
0.000 0.000 0.000
0.500 0.000 0.000
0.000 0.500 0.000
0.500 0.500 0.500
0.000 0.000 0.500
```

Results
crystal system	tetragonal
energy relative to the lowest polymorph listed for this composition	1.73	eV per formula unit
raw formation energy	0.944	eV per atom
calculated volume	18.1	Å³ per atom
symmetry	P4/mmm